A plane-wave DFT calculation with PBE-GGA was carried out for a relaxed structure of PrTcB4.

Crystal system: orthorhombic
Fermi-level density of states, states/eV/f.u.: 2.0
Energy relative to the elements, eV/atom: -0.494
Energy, Ry/atom: -0.5490

Unit cell a=3.700 b=6.092 c=11.801 alpha=90.00 beta=90.00 gamma=90.00
Atoms (fractional coordinates):
Pr 0.000 0.624 0.349
Pr 0.000 0.376 0.651
Pr 0.000 0.124 0.151
Pr 0.000 0.876 0.849
Tc 0.000 0.629 0.086
Tc 0.000 0.371 0.914
Tc 0.000 0.129 0.414
Tc 0.000 0.871 0.586
B 0.500 0.780 0.183
B 0.500 0.220 0.817
B 0.500 0.280 0.317
B 0.500 0.720 0.683
B 0.500 0.859 0.032
B 0.500 0.141 0.968
B 0.500 0.359 0.468
B 0.500 0.641 0.532
B 0.500 0.889 0.454
B 0.500 0.111 0.546
B 0.500 0.389 0.046
B 0.500 0.611 0.954
B 0.500 0.977 0.311
B 0.500 0.023 0.689
B 0.500 0.477 0.189
B 0.500 0.523 0.811


A plane-wave DFT calculation with PBE-GGA was carried out for a relaxed structure of NdDy4Y15.

Crystal system: tetragonal
Fermi-level density of states, states/eV/f.u.: 28.5
Energy relative to the elements, eV/atom: 0.023
Energy, Ry/atom: -0.4398

Unit cell a=5.050 b=5.050 c=25.246 alpha=90.00 beta=90.00 gamma=90.00
Atoms (fractional coordinates):
Nd 0.000 0.000 0.000
Dy 0.000 0.000 0.201
Dy 0.000 0.000 0.400
Dy 0.000 0.000 0.600
Dy 0.000 0.000 0.799
Y 0.500 0.500 0.000
Y 0.500 0.500 0.201
Y 0.500 0.500 0.400
Y 0.500 0.500 0.600
Y 0.500 0.500 0.799
Y 0.500 0.000 0.101
Y 0.500 0.000 0.301
Y 0.500 0.000 0.500
Y 0.500 0.000 0.699
Y 0.500 0.000 0.899
Y 0.000 0.500 0.101
Y 0.000 0.500 0.301
Y 0.000 0.500 0.500
Y 0.000 0.500 0.699
Y 0.000 0.500 0.899